No. 1
# TbAsOs | OQMD | PBE | relaxed
data_TbAsOs
_chemical_formula_sum 'Tb1 As1 Os1'
_cell_length_a 4.491
_cell_length_b 4.491
_cell_length_c 4.491
_cell_angle_alpha 60.00
_cell_angle_beta 60.00
_cell_angle_gamma 60.00
_symmetry_space_group_name_H-M 'P 1'
_symmetry_Int_Tables_number 1
_symmetry_space_group_name_Hall 'P 1'
loop_
_atom_site_label
_atom_site_type_symbol
_atom_site_fract_x
_atom_site_fract_y
_atom_site_fract_z
Tb1 Tb 0.000 0.000 0.000
As1 As 0.500 0.500 0.500
Os1 Os 0.750 0.750 0.750
# - Energy: -20.83 eV/f.u.

=====

No. 2
# Te3AsOs2 | OQMD | PBE | relaxed
data_Te3AsOs2
_chemical_formula_sum 'Te3 As1 Os2'
_cell_length_a 5.353
_cell_length_b 3.880
_cell_length_c 6.383
_cell_angle_alpha 90.00
_cell_angle_beta 91.03
_cell_angle_gamma 90.00
_symmetry_space_group_name_H-M 'P 1'
_symmetry_Int_Tables_number 1
_symmetry_space_group_name_Hall 'P 1'
loop_
_atom_site_label
_atom_site_type_symbol
_atom_site_fract_x
_atom_site_fract_y
_atom_site_fract_z
Te1 Te 0.000 0.000 0.000
Te2 Te 0.081 0.500 0.485
Te3 Te 0.567 0.000 0.723
As1 As 0.502 0.500 0.219
Os1 Os 0.288 0.500 0.869
Os2 Os 0.769 0.000 0.355
# - Energy: -36.71 eV/f.u.

=====

No. 3
# TeAsOs | OQMD | PBE | relaxed
data_TeAsOs
_chemical_formula_sum 'Te1 As1 Os1'
_cell_length_a 4.417
_cell_length_b 4.417
_cell_length_c 4.417
_cell_angle_alpha 60.00
_cell_angle_beta 60.00
_cell_angle_gamma 60.00
_symmetry_space_group_name_H-M 'P 1'
_symmetry_Int_Tables_number 1
_symmetry_space_group_name_Hall 'P 1'
loop_
_atom_site_label
_atom_site_type_symbol
_atom_site_fract_x
_atom_site_fract_y
_atom_site_fract_z
Te1 Te 0.000 0.000 0.000
As1 As 0.500 0.500 0.500
Os1 Os 0.750 0.750 0.750
# - Energy: -18.55 eV/f.u.

=====

No. 4
# TeAsOs | OQMD | PBE | relaxed
data_TeAsOs
_chemical_formula_sum 'Te2 As2 Os2'
_cell_length_a 5.375
_cell_length_b 3.663
_cell_length_c 6.353
_cell_angle_alpha 90.00
_cell_angle_beta 91.74
_cell_angle_gamma 90.00
_symmetry_space_group_name_H-M 'P 1'
_symmetry_Int_Tables_number 1
_symmetry_space_group_name_Hall 'P 1'
loop_
_atom_site_label
_atom_site_type_symbol
_atom_site_fract_x
_atom_site_fract_y
_atom_site_fract_z
Te1 Te 0.209 0.000 0.142
Te2 Te 0.791 0.000 0.858
As1 As 0.310 0.500 0.630
As2 As 0.690 0.500 0.370
Os1 Os 0.000 0.000 0.500
Os2 Os 0.500 0.500 0.000
# - Energy: -18.91 eV/f.u.

=====

No. 5
# TeAsOs | OQMD | PBE | relaxed
data_TeAsOs
_chemical_formula_sum 'Te2 As2 Os2'
_cell_length_a 3.642
_cell_length_b 5.375
_cell_length_c 6.340
_cell_angle_alpha 90.00
_cell_angle_beta 90.00
_cell_angle_gamma 90.00
_symmetry_space_group_name_H-M 'P 1'
_symmetry_Int_Tables_number 1
_symmetry_space_group_name_Hall 'P 1'
loop_
_atom_site_label
_atom_site_type_symbol
_atom_site_fract_x
_atom_site_fract_y
_atom_site_fract_z
Te1 Te 0.000 0.060 0.000
Te2 Te 0.500 0.940 0.500
As1 As 0.000 0.461 0.729
As2 As 0.500 0.539 0.229
Os1 Os 0.000 0.268 0.376
Os2 Os 0.500 0.732 0.876
# - Energy: -19.08 eV/f.u.

=====

No. 6
# TeAs3Os2 | OQMD | PBE | relaxed
data_TeAs3Os2
_chemical_formula_sum 'Te1 As3 Os2'
_cell_length_a 5.583
_cell_length_b 3.199
_cell_length_c 6.342
_cell_angle_alpha 90.00
_cell_angle_beta 91.14
_cell_angle_gamma 90.00
_symmetry_space_group_name_H-M 'P 1'
_symmetry_Int_Tables_number 1
_symmetry_space_group_name_Hall 'P 1'
loop_
_atom_site_label
_atom_site_type_symbol
_atom_site_fract_x
_atom_site_fract_y
_atom_site_fract_z
Te1 Te 0.000 0.000 0.000
As1 As 0.366 0.000 0.283
As2 As 0.496 0.500 0.766
As3 As 0.846 0.500 0.500
Os1 Os 0.175 0.000 0.623
Os2 Os 0.656 0.500 0.139
# - Energy: -39.93 eV/f.u.

=====

No. 7
# TeAsOs | OQMD | PBE | relaxed
data_TeAsOs
_chemical_formula_sum 'Te4 As4 Os4'
_cell_length_a 6.431
_cell_length_b 6.362
_cell_length_c 6.495
_cell_angle_alpha 90.00
_cell_angle_beta 113.04
_cell_angle_gamma 90.00
_symmetry_space_group_name_H-M 'P 1'
_symmetry_Int_Tables_number 1
_symmetry_space_group_name_Hall 'P 1'
loop_
_atom_site_label
_atom_site_type_symbol
_atom_site_fract_x
_atom_site_fract_y
_atom_site_fract_z
Te1 Te 0.155 0.125 0.370
Te2 Te 0.155 0.375 0.870
Te3 Te 0.845 0.625 0.130
Te4 Te 0.845 0.875 0.630
As1 As 0.353 0.645 0.671
As2 As 0.353 0.855 0.171
As3 As 0.647 0.145 0.829
As4 As 0.647 0.355 0.329
Os1 Os 0.284 0.508 0.296
Os2 Os 0.284 0.992 0.796
Os3 Os 0.716 0.008 0.204
Os4 Os 0.716 0.492 0.704
# - Energy: -19.66 eV/f.u.

=====

No. 8
# TlAsOs | OQMD | PBE | relaxed
data_TlAsOs
_chemical_formula_sum 'Tl1 As1 Os1'
_cell_length_a 4.467
_cell_length_b 4.467
_cell_length_c 4.467
_cell_angle_alpha 60.00
_cell_angle_beta 60.00
_cell_angle_gamma 60.00
_symmetry_space_group_name_H-M 'P 1'
_symmetry_Int_Tables_number 1
_symmetry_space_group_name_Hall 'P 1'
loop_
_atom_site_label
_atom_site_type_symbol
_atom_site_fract_x
_atom_site_fract_y
_atom_site_fract_z
Tl1 Tl 0.000 0.000 0.000
As1 As 0.500 0.500 0.500
Os1 Os 0.750 0.750 0.750
# - Energy above the most stable polymorph in this dataset: 0 meV per atom